Material: Pr16Nd7Y6
Method: DFT, GGA-PBE
State: optimized geometry

Cell and atoms, written as POSCAR:
```
Pr16Nd7Y6
1.0
0.0000 8.1201 8.1201
8.1201 0.0000 8.1201
8.1201 8.1201 0.0000
Pr Nd Y
16 7 6
Direct
0.0455 0.6515 0.6515
0.1251 0.1251 0.1251
0.1251 0.1251 0.6248
0.1251 0.6248 0.1251
0.3485 0.3485 0.3485
0.3485 0.3485 0.9545
0.3485 0.9545 0.3485
0.3752 0.8749 0.8749
0.6248 0.1251 0.1251
0.6515 0.0455 0.6515
0.6515 0.6515 0.0455
0.6515 0.6515 0.6515
0.8749 0.3752 0.8749
0.8749 0.8749 0.3752
0.8749 0.8749 0.8749
0.9545 0.3485 0.3485
0.0000 0.0000 0.0000
0.0000 0.0000 0.5000
0.0000 0.5000 0.0000
0.0000 0.5000 0.5000
0.5000 0.0000 0.0000
0.5000 0.0000 0.5000
0.5000 0.5000 0.0000
0.2671 0.2671 0.7329
0.2671 0.7329 0.2671
0.2671 0.7329 0.7329
0.7329 0.2671 0.2671
0.7329 0.2671 0.7329
0.7329 0.7329 0.2671
```

## Properties
Space group: Fm-3m, No. 225
D(E_F) (states/eV per cell): 38.5
Magnetic moment (μB/atom): 0.00



Material: Nb2AlFeSn
Method: DFT, GGA-PBE
State: optimized geometry

Cell and atoms, written as POSCAR:
```
Nb2AlFeSn
1.0
5.0865 0.0000 0.0000
0.0000 5.0865 0.0000
0.0000 0.0000 4.7111
Nb Al Fe Sn
2 1 1 1
Direct
0.0000 0.5000 0.0000
0.5000 0.0000 0.0000
0.0000 0.0000 0.5000
0.5000 0.5000 0.5000
0.0000 0.0000 0.0000
```

## Properties
Space group: P4/mmm, No. 123
D(E_F) (states/eV per cell): 11.6
Magnetic moment (μB/atom): 0.09



Material: LiAsHOs
Method: DFT, GGA-PBE
State: optimized geometry

Cell and atoms, written as POSCAR:
```
LiAsHOs
1.0
3.0647 0.0000 0.0000
-1.5323 2.6541 0.0000
0.0000 0.0000 6.3142
Li As H Os
1 1 1 1
Direct
0.0000 0.0000 0.0000
0.3333 0.6667 0.3823
0.6667 0.3333 0.9204
0.6667 0.3333 0.6501
```

## Properties
Energy relative to the lowest polymorph listed for this composition (meV per atom): 3
Space group: P3m1, No. 156
D(E_F) (states/eV per cell): 2.0
Magnetic moment (μB/atom): 0.00



Material: ErAg2Au6
Method: DFT, GGA-PBE
State: optimized geometry

Cell and atoms, written as POSCAR:
```
ErAg2Au6
1.0
6.7026 -5.0931 0.0000
6.7026 5.0931 0.0000
-0.8641 0.0000 5.0481
Er Ag Au
2 4 12
Direct
0.1358 0.8642 0.7500
0.8642 0.1358 0.2500
0.2020 0.4648 0.9106
0.4648 0.2020 0.4106
0.5352 0.7980 0.5894
0.7980 0.5352 0.0894
0.0069 0.7682 0.1990
0.1035 0.3513 0.3596
0.2318 0.9931 0.3010
0.3251 0.5638 0.4654
0.3513 0.1035 0.8596
0.4362 0.6749 0.0346
0.5638 0.3251 0.9654
0.6487 0.8965 0.1404
0.6749 0.4362 0.5346
0.7682 0.0069 0.6990
0.8965 0.6487 0.6404
0.9931 0.2318 0.8010
```

## Properties
Space group: C2/c, No. 15
D(E_F) (states/eV per cell): 4.9
Magnetic moment (μB/atom): 0.00



Material: Li2TlRu
Method: DFT, GGA-PBE
State: optimized geometry

Cell and atoms, written as POSCAR:
```
Li2TlRu
1.0
2.9361 0.0000 0.0000
0.0000 3.9929 0.0000
0.0000 0.0000 5.6012
Li Tl Ru
2 1 1
Direct
0.0000 0.0000 0.2162
0.0000 0.0000 0.7838
0.5000 0.5000 0.5000
0.5000 0.5000 0.0000
```

## Properties
Space group: Pmmm, No. 47
D(E_F) (states/eV per cell): 2.3
Magnetic moment (μB/atom): 0.25



Material: Ba8As2Pt
Method: DFT, GGA-PBE
State: optimized geometry

Cell and atoms, written as POSCAR:
```
Ba8As2Pt
1.0
7.0022 -5.0211 0.0000
7.0022 5.0211 0.0000
-2.4831 0.0000 7.6946
Ba As Pt
8 2 1
Direct
0.0709 0.0709 0.2516
0.1432 0.5569 0.2569
0.3651 0.3651 0.7543
0.4431 0.8568 0.7431
0.5569 0.1432 0.2569
0.6349 0.6349 0.2457
0.8568 0.4431 0.7431
0.9291 0.9291 0.7484
0.1865 0.1865 0.9628
0.8135 0.8135 0.0372
0.5000 0.5000 0.5000
```

## Properties
Space group: C2/m, No. 12
D(E_F) (states/eV per cell): 11.2
Magnetic moment (μB/atom): 0.05



Material: LaGaCl
Method: DFT, GGA-PBE
State: optimized geometry

Cell and atoms, written as POSCAR:
```
LaGaCl
1.0
7.4491 0.0000 0.0000
0.0000 4.3004 0.0000
-2.5019 0.0000 10.9124
La Ga Cl
4 4 4
Direct
0.0671 0.0000 0.1999
0.4329 0.5000 0.8001
0.5671 0.5000 0.1999
0.9329 0.0000 0.8001
0.1562 0.5000 0.9688
0.3438 0.0000 0.0312
0.6562 0.0000 0.9688
0.8438 0.5000 0.0312
0.2166 0.0000 0.6526
0.2834 0.5000 0.3474
0.7166 0.5000 0.6526
0.7834 0.0000 0.3474
```

## Properties
Energy relative to the elements, uncorrected (eV per atom): -1.481
Space group: C2/m, No. 12
D(E_F) (states/eV per cell): 2.3
Magnetic moment (μB/atom): 0.00



Material: PaZnAgPb
Method: DFT, GGA-PBE
State: optimized geometry

Cell and atoms, written as POSCAR:
```
PaZnAgPb
1.0
7.1020 0.0000 0.0000
0.0000 7.1020 0.0000
0.0000 0.0000 7.1020
Pa Zn Ag Pb
4 4 4 4
Direct
0.0000 0.0000 0.0000
0.0000 0.5000 0.5000
0.5000 0.0000 0.5000
0.5000 0.5000 0.0000
0.2500 0.2500 0.7500
0.2500 0.7500 0.2500
0.7500 0.2500 0.2500
0.7500 0.7500 0.7500
0.2500 0.2500 0.2500
0.2500 0.7500 0.7500
0.7500 0.2500 0.7500
0.7500 0.7500 0.2500
0.0000 0.0000 0.5000
0.0000 0.5000 0.0000
0.5000 0.0000 0.0000
0.5000 0.5000 0.5000
```

## Properties
Space group: F-43m, No. 216
D(E_F) (states/eV per cell): 15.8
Magnetic moment (μB/atom): 0.00



Material: TbPm4In5
Method: DFT, GGA-PBE
State: optimized geometry

Cell and atoms, written as POSCAR:
```
TbPm4In5
1.0
3.8327 0.0000 0.0000
0.0000 3.8327 0.0000
0.0000 0.0000 19.1834
Tb Pm In
1 4 5
Direct
0.0000 0.0000 0.0000
0.0000 0.0000 0.1967
0.0000 0.0000 0.3990
0.0000 0.0000 0.6010
0.0000 0.0000 0.8033
0.5000 0.5000 0.0950
0.5000 0.5000 0.2980
0.5000 0.5000 0.5000
0.5000 0.5000 0.7020
0.5000 0.5000 0.9050
```

## Properties
Space group: P4/mmm, No. 123
D(E_F) (states/eV per cell): 5.5
Magnetic moment (μB/atom): 0.00



Material: TcPS
Method: DFT, GGA-PBE
State: optimized geometry

Cell and atoms, written as POSCAR:
```
TcPS
1.0
5.4099 0.0000 0.0000
0.0000 3.1005 0.0000
-1.7832 0.0000 6.8774
Tc P S
2 2 2
Direct
0.0000 0.0000 0.0000
0.4950 0.5000 0.9846
0.4140 0.0000 0.2269
0.7595 0.5000 0.7578
0.2459 0.0000 0.7641
0.8964 0.5000 0.2204
```

## Properties
Energy relative to the elements, uncorrected (eV per atom): -0.379
Energy relative to the lowest polymorph listed for this composition (meV per atom): 150
Space group: Pm, No. 6
Magnetic moment (μB/atom): 0.00



Material: MoPdI3
Method: DFT, GGA-PBE
State: optimized geometry

Cell and atoms, written as POSCAR:
```
MoPdI3
1.0
5.4964 0.0000 0.0000
0.0000 5.4964 0.0000
0.0000 0.0000 5.4964
Mo Pd I
1 1 3
Direct
0.0000 0.0000 0.0000
0.5000 0.5000 0.5000
0.0000 0.5000 0.5000
0.5000 0.0000 0.5000
0.5000 0.5000 0.0000
```

## Properties
Energy relative to the elements, uncorrected (eV per atom): 0.768
Energy relative to the lowest polymorph listed for this composition (meV per atom): 88
Space group: Pm-3m, No. 221
D(E_F) (states/eV per cell): 4.4
Magnetic moment (μB/atom): 0.94



Material: Th3Zn7Ir4
Method: DFT, GGA-PBE
State: optimized geometry

Cell and atoms, written as POSCAR:
```
Th3Zn7Ir4
1.0
7.8159 -2.0553 0.0000
7.8159 2.0553 0.0000
-5.5757 0.0000 8.2194
Th Zn Ir
3 7 4
Direct
0.0000 0.0000 0.0000
0.3003 0.3003 0.2827
0.6997 0.6997 0.7173
0.0000 0.0000 0.5000
0.1601 0.1601 0.4310
0.3264 0.3264 0.9934
0.4816 0.4816 0.6816
0.5184 0.5184 0.3184
0.6736 0.6736 0.0066
0.8399 0.8399 0.5690
0.1073 0.1073 0.8127
0.3426 0.3426 0.7452
0.6574 0.6574 0.2548
0.8927 0.8927 0.1873
```

## Properties
Space group: C2/m, No. 12
D(E_F) (states/eV per cell): 8.7
Magnetic moment (μB/atom): 0.00



DFT total energy? In order: -0.1808; -0.1901; -0.1999; -0.1325; -0.1349; -0.1246; -0.1745; -0.1534; -0.1553; -0.2577; -0.1237; -0.1942 Ha/atom.